# ErNiTe2O8

An optimized crystal structure of ErNiTe2O8 (PBE with a Hubbard U, the Alexandria database).

The structure in POSCAR format:
```
ErNiTe2O8
1.0
-1.197 5.372 -2.516
-4.938 -2.499 2.448
4.080 0.829 4.391
O Te Ni Er
8 2 1 1
direct
0.315 0.505 0.190 O
0.949 0.253 0.304 O
0.747 0.051 0.696 O
0.875 0.685 0.190 O
0.355 0.051 0.304 O
0.495 0.685 0.810 O
0.949 0.645 0.696 O
0.315 0.125 0.810 O
0.500 0.500 0.000 Te
0.750 0.250 0.500 Te
0.000 0.000 0.000 Ni
0.250 0.750 0.500 Er
```

Output
**Magnetic moment**: 1.37 Bohr magnetons per cell
**Uncorrected energy**: -5.7294 eV/atom
**Density of states at the Fermi level**: 0.20 states/eV/atom
**Space-group type**: No. 119